Entry 1:
Density functional theory data (GGA-PBE) for CaFeSCl2 after structural relaxation.

Cell: 4.764 4.764 4.712 Å, 90.00 90.00 90.00°
Element x y z (fractional)
Fe 0.000 0.000 0.000
Cl 0.500 0.000 0.000
Cl 0.000 0.500 0.000
S 0.000 0.000 0.500
Ca 0.500 0.500 0.500

Output
**Final energy**: -4.658 eV per atom
**Offset from the most stable computed form**: 0 meV/atom
**E_form (uncorrected)**: -1.001 eV/atom
**Crystal system**: tetragonal

***

Entry 2:
Density functional theory data (GGA-PBE) for ZrCoSbI2 after structural relaxation.

Cell: 5.624 5.624 5.804 Å, 90.00 90.00 90.00°
Element x y z (fractional)
Sb 0.000 0.000 0.500
Zr 0.000 0.000 0.000
I 0.000 0.500 0.000
I 0.500 0.000 0.000
Co 0.500 0.500 0.500

Output
**Final energy**: -3.929 eV per atom
**Offset from the most stable computed form**: 90 meV/atom
**E_form (uncorrected)**: 0.646 eV/atom
**Crystal system**: tetragonal

***

Entry 3:
Density functional theory data (GGA-PBE) for Tb2Ga7Ag12 after structural relaxation.

Cell: 3.489 11.414 11.414 Å, 120.00 90.00 90.00°
Element x y z (fractional)
Ag 0.250 0.928 0.550
Ag 0.750 0.550 0.622
Ag 0.756 0.251 0.157
Ag 0.756 0.906 0.749
Ag 0.250 0.622 0.072
Ag 0.244 0.749 0.843
Ag 0.750 0.072 0.450
Ag 0.750 0.378 0.928
Ag 0.756 0.843 0.094
Ag 0.250 0.450 0.378
Ag 0.244 0.157 0.906
Ag 0.244 0.094 0.251
Ga 0.748 0.577 0.868
Ga 0.748 0.292 0.423
Ga 0.500 0.000 0.000
Ga 0.252 0.868 0.292
Ga 0.748 0.132 0.708
Ga 0.252 0.423 0.132
Ga 0.252 0.708 0.577
Tb 0.248 0.333 0.667
Tb 0.752 0.667 0.333

Output
**Final energy**: -3.228 eV per atom
**DFT formation energy**: -3.13 eV per formula unit
**Crystal system**: trigonal

***

Entry 4:
Density functional theory data (GGA-PBE) for CsCuHgSe2 after structural relaxation.

Cell: 4.978 5.740 4.978 Å, 90.00 90.00 90.00°
Element x y z (fractional)
Cu 0.000 0.000 0.000
Hg 0.000 0.500 0.000
Se 0.500 0.000 0.000
Se 0.000 0.000 0.500
Cs 0.500 0.500 0.500

Output
**Final energy**: -2.695 eV per atom
**E_form (uncorrected)**: -0.251 eV/atom
**Crystal system**: tetragonal

***

Entry 5:
Density functional theory data (GGA-PBE) for Ho2Tm5Ru4 after structural relaxation.

Cell: 3.392 6.855 12.909 Å, 114.90 97.55 90.00°
Element x y z (fractional)
Tm 0.096 0.803 0.191
Tm 0.127 0.374 0.255
Tm 0.904 0.197 0.809
Tm 0.873 0.626 0.745
Tm 0.500 0.000 0.000
Ru 0.325 0.265 0.651
Ru 0.675 0.735 0.349
Ru 0.978 0.647 0.957
Ru 0.022 0.353 0.043
Ho 0.732 0.185 0.463
Ho 0.268 0.815 0.537

Output
**Final energy**: -6.369 eV per atom
**DFT formation energy**: -1.44 eV per formula unit
**Crystal system**: monoclinic

***

Entry 6:
Density functional theory data (GGA-PBE) for KSeOF2 after structural relaxation.

Cell: 4.662 4.662 4.919 Å, 90.00 90.00 90.00°
Element x y z (fractional)
Se 0.500 0.500 0.500
F 0.000 0.500 0.000
F 0.500 0.000 0.000
K 0.000 0.000 0.000
O 0.000 0.000 0.500

Output
**Final energy**: -2.657 eV per atom
**Offset from the most stable computed form**: 1492 meV/atom
**E_form (uncorrected)**: 0.000 eV/atom
**Crystal system**: tetragonal

***

Entry 7:
Density functional theory data (GGA-PBE) for PrPuGaCu after structural relaxation.

Cell: 5.112 5.112 5.112 Å, 60.00 60.00 60.00°
Element x y z (fractional)
Pr 0.000 0.000 0.000
Cu 0.250 0.250 0.250
Pu 0.500 0.500 0.500
Ga 0.750 0.750 0.750

Output
**Final energy**: -6.713 eV per atom
**DFT formation energy**: -0.62 eV per formula unit
**Crystal system**: cubic

***

Entry 8:
Density functional theory data (GGA-PBE) for CeInGa after structural relaxation.

Cell: 3.046 3.075 15.860 Å, 84.44 90.00 90.00°
Element x y z (fractional)
Ce 0.250 0.290 0.420
Ce 0.750 0.710 0.580
In 0.750 0.956 0.089
In 0.250 0.044 0.911
Ga 0.250 0.624 0.753
Ga 0.750 0.376 0.247

Output
**Final energy**: -3.824 eV per atom
**Offset from the most stable computed form**: 494 meV/atom
**DFT formation energy**: 0.23 eV per formula unit
**Crystal system**: orthorhombic

***

Entry 9:
Density functional theory data (GGA-PBE) for RePbCl3 after structural relaxation.

Cell: 4.870 4.870 4.870 Å, 90.00 90.00 90.00°
Element x y z (fractional)
Cl 0.000 0.500 0.000
Cl 0.000 0.000 0.500
Cl 0.500 0.000 0.000
Re 0.000 0.000 0.000
Pb 0.500 0.500 0.500

Output
**Final energy**: -4.109 eV per atom
**Offset from the most stable computed form**: 0 meV/atom
**E_form (uncorrected)**: 0.230 eV/atom
**Crystal system**: cubic

***

Entry 10:
Density functional theory data (GGA-PBE) for BaCrSi2 after structural relaxation.

Cell: 5.443 5.443 5.443 Å, 131.95 105.12 94.06°
Element x y z (fractional)
Si 0.094 0.094 0.000
Si 0.406 0.406 0.000
Ba 0.750 0.250 0.500
Cr 0.250 0.750 0.500

Output
**Final energy**: -5.469 eV per atom
**Offset from the most stable computed form**: 263 meV/atom
**E_form (uncorrected)**: 0.129 eV/atom
**Crystal system**: orthorhombic

***

Entry 11:
Density functional theory data (GGA-PBE) for Y2CoRe after structural relaxation.

Cell: 7.379 7.379 7.379 Å, 31.66 31.66 31.66°
Element x y z (fractional)
Re 0.795 0.795 0.795
Co 0.455 0.455 0.455
Y 0.033 0.033 0.033
Y 0.217 0.217 0.217

Output
**Final energy**: -8.101 eV per atom
**DFT formation energy**: 0.08 eV per formula unit
**Crystal system**: trigonal

***

Entry 12:
Density functional theory data (GGA-PBE) for Sr2TiInO6 after structural relaxation.

Cell: 5.779 5.780 5.777 Å, 60.03 60.02 90.00°
Element x y z (fractional)
O 0.761 0.239 0.000
O 0.239 0.239 0.000
O 0.761 0.761 0.000
O 0.761 0.761 0.478
O 0.239 0.239 0.522
O 0.239 0.761 0.000
Ti 0.000 0.000 0.000
Sr 0.750 0.250 0.500
Sr 0.250 0.750 0.500
In 0.500 0.500 0.000

Output
**Final energy**: -6.807 eV per atom
**E_form (uncorrected)**: -2.432 eV/atom
**Crystal system**: cubic